DFT (PBE-GGA) results for InPtN after structural relaxation.

Geometry as POSCAR:
```
InPtN
1.0
2.614 -2.612 0.000
2.614 2.612 0.000
-2.534 0.000 9.038
In Pt N
2 2 2
Direct
0.199 0.199 0.393
0.801 0.801 0.607
0.349 0.349 0.705
0.651 0.651 0.295
0.465 0.465 0.937
0.535 0.535 0.063
```

ΔE_f (raw)	-71	meV per atom
space-group type	C2/m
total magnetization	0.00	μB/f.u.
N(E_F)	1.0	states/eV per cell